# La2Pu3Pt4

Crystalline La2Pu3Pt4 at its relaxed geometry (PBE, the Alexandria database).

Lattice parameters (Å, degrees): 7.817 7.798 7.693 90.00 110.50 90.00
Fractional coordinates of all 18 atoms:
La 0.194 0.175 0.067
La 0.194 0.325 0.567
La 0.806 0.675 0.433
La 0.806 0.825 0.933
Pu 0.243 0.664 0.240
Pu 0.243 0.836 0.740
Pu 0.500 0.000 0.500
Pu 0.500 0.500 0.000
Pu 0.757 0.164 0.260
Pu 0.757 0.336 0.760
Pt 0.085 0.540 0.847
Pt 0.085 0.960 0.347
Pt 0.497 0.133 0.867
Pt 0.497 0.367 0.367
Pt 0.503 0.633 0.633
Pt 0.503 0.867 0.133
Pt 0.915 0.040 0.653
Pt 0.915 0.460 0.153

Values from the calculation:
VASP energy in Ry/atom: -0.6945